Record 1
An optimized crystal structure of Sm2AsSe, computed with PBE.

E_form (uncorrected) = -1.727 eV per atom
distance to the lowest polymorph of the same formula = 0.008 eV/atom

Geometry as CIF:
```
data_Sm2AsSe
_space_group_name_H-M_alt 'P 4/m m m'
_space_group_IT_number 123
_space_group_name_Hall '-P 4 2'
_cell_length_a 4.1926
_cell_length_b 4.1926
_cell_length_c 5.9270
_cell_angle_alpha 90.00
_cell_angle_beta 90.00
_cell_angle_gamma 90.00
loop_
_atom_site_label
_atom_site_type_symbol
_atom_site_fract_x
_atom_site_fract_y
_atom_site_fract_z
Sm1 Sm 0.0000 0.0000 0.0000
Sm2 Sm 0.5000 0.5000 0.5000
As1 As 0.0000 0.0000 0.5000
Se1 Se 0.5000 0.5000 0.0000
```


Record 2
An optimized crystal structure of Sm3AsSe6, computed with PBE.

E_form (uncorrected) = -1.405 eV per atom

Geometry as CIF:
```
data_Sm3AsSe6
_space_group_name_H-M_alt 'C m c 21'
_space_group_IT_number 36
_space_group_name_Hall 'C 2c -2'
_cell_length_a 11.2634
_cell_length_b 14.0977
_cell_length_c 7.0711
_cell_angle_alpha 90.00
_cell_angle_beta 90.00
_cell_angle_gamma 90.00
loop_
_atom_site_label
_atom_site_type_symbol
_atom_site_fract_x
_atom_site_fract_y
_atom_site_fract_z
Sm1 Sm 0.0000 0.0977 0.0000
Sm2 Sm 0.1815 0.4010 0.8985
As1 As 0.0000 0.3208 0.3753
Se1 Se 0.0000 0.2678 0.7400
Se2 Se 0.0000 0.4862 0.1485
Se3 Se 0.1620 0.2409 0.1995
Se4 Se 0.1640 0.0305 0.6999
```


Record 3
An optimized crystal structure of Sm3As2Se3, computed with PBE.

E_form (uncorrected) = -1.419 eV per atom

Geometry as CIF:
```
data_Sm3As2Se3
_space_group_name_H-M_alt 'P 63/m c m'
_space_group_IT_number 193
_space_group_name_Hall '-P 6c 2'
_cell_length_a 8.9758
_cell_length_b 8.9758
_cell_length_c 5.6765
_cell_angle_alpha 90.00
_cell_angle_beta 90.00
_cell_angle_gamma 120.00
loop_
_atom_site_label
_atom_site_type_symbol
_atom_site_fract_x
_atom_site_fract_y
_atom_site_fract_z
Sm1 Sm 0.0000 0.3687 0.2500
As1 As 0.3333 0.6667 0.0000
Se1 Se 0.0000 0.2753 0.7500
```


Record 4
An optimized crystal structure of Sm5AsSe5, computed with PBE.

E_form (uncorrected) = -1.839 eV per atom

Geometry as CIF:
```
data_Sm5AsSe5
_space_group_name_H-M_alt 'C 1 2/m 1'
_space_group_IT_number 12
_space_group_name_Hall '-C 2y'
_cell_length_a 13.2003
_cell_length_b 5.9039
_cell_length_c 8.3382
_cell_angle_alpha 90.00
_cell_angle_beta 108.43
_cell_angle_gamma 90.00
loop_
_atom_site_label
_atom_site_type_symbol
_atom_site_fract_x
_atom_site_fract_y
_atom_site_fract_z
Sm1 Sm 0.0000 0.0000 0.0000
Sm2 Sm 0.1604 0.5000 0.8286
Sm3 Sm 0.1632 0.5000 0.3325
As1 As 0.0000 0.5000 0.0000
Se1 Se 0.0000 0.5000 0.5000
Se2 Se 0.1675 0.0000 0.3340
Se3 Se 0.1692 0.0000 0.8356
```


Record 5
An optimized crystal structure of Sm6As5Se, computed with PBE.

E_form (uncorrected) = -1.622 eV per atom

Geometry as CIF:
```
data_Sm6As5Se
_space_group_name_H-M_alt 'C 1 2/m 1'
_space_group_IT_number 12
_space_group_name_Hall '-C 2y'
_cell_length_a 7.2934
_cell_length_b 12.6230
_cell_length_c 7.2946
_cell_angle_alpha 90.00
_cell_angle_beta 109.45
_cell_angle_gamma 90.00
loop_
_atom_site_label
_atom_site_type_symbol
_atom_site_fract_x
_atom_site_fract_y
_atom_site_fract_z
Sm1 Sm 0.2461 0.0000 0.2532
Sm2 Sm 0.2466 0.1691 0.7472
As1 As 0.0000 0.0000 0.5000
As2 As 0.0000 0.1669 0.0000
As3 As 0.0000 0.3345 0.5000
Se1 Se 0.0000 0.5000 0.0000
```


Record 6
An optimized crystal structure of Sm5As2Se2, computed with PBE.

E_form (uncorrected) = -1.389 eV per atom

Geometry as CIF:
```
data_Sm5As2Se2
_space_group_name_H-M_alt 'C m c e'
_space_group_IT_number 64
_space_group_name_Hall '-C 2ac 2'
_cell_length_a 14.8726
_cell_length_b 7.8094
_cell_length_c 7.8513
_cell_angle_alpha 90.00
_cell_angle_beta 90.00
_cell_angle_gamma 90.00
loop_
_atom_site_label
_atom_site_type_symbol
_atom_site_fract_x
_atom_site_fract_y
_atom_site_fract_z
Sm1 Sm 0.0000 0.0000 0.0000
Sm2 Sm 0.1347 0.1589 0.3444
As1 As 0.0000 0.1451 0.6444
Se1 Se 0.1972 0.0000 0.0000
```


Record 7
An optimized crystal structure of Sm2AsSe, computed with PBE.

E_form (uncorrected) = -1.735 eV per atom
distance to the lowest polymorph of the same formula = 0.000 eV/atom

Geometry as CIF:
```
data_Sm2AsSe
_space_group_name_H-M_alt 'P m m n'
_space_group_IT_number 59
_cell_length_a 4.1939
_cell_length_b 5.9281
_cell_length_c 8.4228
_cell_angle_alpha 90.00
_cell_angle_beta 90.00
_cell_angle_gamma 90.00
loop_
_space_group_symop_operation_xyz
'x,y,z'
'-x,-y,-z'
'-x+1/2,-y+1/2,z'
'x+1/2,y+1/2,-z'
'x+1/2,-y,-z'
'-x+1/2,y,z'
'-x,y+1/2,-z'
'x,-y+1/2,z'
loop_
_atom_site_label
_atom_site_type_symbol
_atom_site_fract_x
_atom_site_fract_y
_atom_site_fract_z
Sm1 Sm 0.2500 0.2500 0.1170
Sm2 Sm 0.2500 0.2500 0.6360
As1 As 0.2500 0.7500 0.1264
Se1 Se 0.2500 0.7500 0.6222
```


Record 8
An optimized crystal structure of SmAsSe4, computed with PBE.

E_form (uncorrected) = -0.712 eV per atom

Geometry as CIF:
```
data_SmAsSe4
_space_group_name_H-M_alt 'P 1 21/m 1'
_space_group_IT_number 11
_space_group_name_Hall '-P 2yb'
_cell_length_a 6.1269
_cell_length_b 9.4760
_cell_length_c 6.7908
_cell_angle_alpha 90.00
_cell_angle_beta 109.73
_cell_angle_gamma 90.00
loop_
_atom_site_label
_atom_site_type_symbol
_atom_site_fract_x
_atom_site_fract_y
_atom_site_fract_z
Sm1 Sm 0.1479 0.2500 0.1683
As1 As 0.3033 0.7500 0.4157
Se1 Se 0.0550 0.5640 0.1959
Se2 Se 0.3351 0.2500 0.6239
Se3 Se 0.3573 0.7500 0.7816
```


Question: What is the formula in the eighth record?
Answer: SmAsSe4


Please write out number 5 again, unchanged.
An optimized crystal structure of Sm6As5Se, computed with PBE.

E_form (uncorrected) = -1.622 eV per atom

Geometry as CIF:
```
data_Sm6As5Se
_space_group_name_H-M_alt 'C 1 2/m 1'
_space_group_IT_number 12
_space_group_name_Hall '-C 2y'
_cell_length_a 7.2934
_cell_length_b 12.6230
_cell_length_c 7.2946
_cell_angle_alpha 90.00
_cell_angle_beta 109.45
_cell_angle_gamma 90.00
loop_
_atom_site_label
_atom_site_type_symbol
_atom_site_fract_x
_atom_site_fract_y
_atom_site_fract_z
Sm1 Sm 0.2461 0.0000 0.2532
Sm2 Sm 0.2466 0.1691 0.7472
As1 As 0.0000 0.0000 0.5000
As2 As 0.0000 0.1669 0.0000
As3 As 0.0000 0.3345 0.5000
Se1 Se 0.0000 0.5000 0.0000
```


Question: Which value of E_form (uncorrected) does entry 8 give?
Answer: -0.712 eV per atom


Question: Which of these has the highest E_form (uncorrected)?
Answer: SmAsSe4